# Pm3TeHIr

An optimized crystal structure of Pm3TeHIr (PBE, Alexandria via LeMat-Bulk).

a b c (Å): 4.1890 8.5781 8.7951
angles (deg): 106.80 90.00 90.00
Fractional coordinates of all 12 atoms:
H  0.2500  0.0951  0.6007
H  0.7500  0.9049  0.3993
Pm  0.2500  0.1854  0.8889
Pm  0.7500  0.8146  0.1111
Pm  0.2500  0.5644  0.7685
Pm  0.2500  0.8114  0.4545
Pm  0.7500  0.4356  0.2315
Pm  0.7500  0.1886  0.5455
Te  0.7500  0.8715  0.7567
Te  0.2500  0.1285  0.2433
Ir  0.7500  0.4037  0.8768
Ir  0.2500  0.5963  0.1232

Summary:
Spin magnetization ... 0.00 μB/f.u.
Crystal system ... monoclinic
Raw total energy ... -34.848 eV per formula unit